1) The following is a PBE with a Hubbard U calculation of LiMn4P3O12 after structural relaxation, from Alexandria via LeMat-Bulk.

Unit cell a=6.8205 b=6.8207 c=10.9354 alpha=71.83 beta=71.83 gamma=90.01
Closest atoms and distances in Å follow each position.
Fractional coordinates of all 40 atoms:
O 0.2093 0.9197 0.7118  1 P 1.55
O 0.1196 0.3301 0.2117  1 P 1.55
O 0.9057 0.6771 0.6251  1 P 1.58
O 0.4488 0.7204 0.1252  1 P 1.58
O 0.9029 0.1482 0.0823  1 P 1.56
O 0.4683 0.7009 0.6251  1 P 1.58
O 0.5390 0.8808 0.7897  1 P 1.55
O 0.4251 0.1579 0.1250  1 P 1.58
O 0.7346 0.1041 0.4192  1 P 1.56
O 0.6676 0.4613 0.2119  1 P 1.55
O 0.2994 0.0947 0.3763  1 P 1.58
O 0.5206 0.2657 0.5823  1 P 1.56
O 0.2800 0.5752 0.8765  1 P 1.58
O 0.6288 0.7910 0.2898  1 P 1.55
O 0.0781 0.3717 0.7117  1 P 1.55
O 0.0138 0.7725 0.0823  1 P 1.56
O 0.8521 0.9865 0.9192  1 P 1.56
O 0.3232 0.5321 0.3766  1 P 1.58
O 0.8426 0.5513 0.8764  1 P 1.58
O 0.0805 0.9226 0.2896  1 P 1.55
O 0.8454 0.4798 0.4193  1 P 1.56
O 0.2278 0.0973 0.9193  1 P 1.56
O 0.6705 0.3325 0.7896  1 P 1.55
O 0.8963 0.1549 0.5823  1 P 1.56
Mn 0.9808 0.4828 0.0373  6 O 2.17-2.35
Mn 0.5176 0.0195 0.9642  6 O 2.17-2.35
Mn 0.3742 0.3622 0.7508  6 O 2.11-2.26
Mn 0.8741 0.8900 0.7508  6 O 2.10-2.26
Mn 0.6380 0.1261 0.2508  6 O 2.11-2.26
Mn 0.2309 0.2325 0.5373  6 O 2.17-2.35
Mn 0.1102 0.6263 0.2508  6 O 2.11-2.26
Mn 0.7676 0.7696 0.4642  6 O 2.17-2.35
P 0.3742 0.7802 0.7508  4 O 1.55-1.58
P 0.8742 0.4721 0.7507  4 O 1.55-1.58
P 0.9992 0.0011 0.0008  4 O 1.56
P 0.5282 0.6262 0.2509  4 O 1.55-1.58
P 0.2201 0.1263 0.2507  4 O 1.55-1.58
P 0.7492 0.2511 0.5008  4 O 1.56
Li 0.2490 0.7497 0.5012  4 O 2.27-2.29
Li 0.4985 0.5010 0.0011  4 O 2.27-2.28

Summary:
Total magnetic moment = 20.00 μB/f.u.

=====

2) The following is a PBE with a Hubbard U calculation of LiMn4P3O12 after structural relaxation, from Alexandria via LeMat-Bulk.

Unit cell a=8.9684 b=8.9684 c=6.6584 alpha=72.11 beta=72.11 gamma=96.27
Closest atoms and distances in Å follow each position.
Fractional coordinates of all 40 atoms:
O 0.2884 0.5161 0.2462  1 P 1.58
O 0.8531 0.8440 0.0888  1 P 1.57
O 0.6928 0.0095 0.3811  1 P 1.58
O 0.7113 0.1980 0.9655  1 P 1.54
O 0.6200 0.9648 0.7988  1 P 1.53
O 0.4588 0.2807 0.3130  1 P 1.60
O 0.9972 0.3321 0.1154  1 P 1.56
O 0.2916 0.7999 0.0351  1 P 1.53
O 0.5161 0.2884 0.7462  1 P 1.58
O 0.1578 0.1433 0.4343  1 P 1.55
O 0.3321 0.9972 0.6154  1 P 1.56
O 0.1433 0.1578 0.9343  1 P 1.55
O 0.7157 0.4806 0.7664  1 P 1.57
O 0.0432 0.3849 0.7054  1 P 1.53
O 0.2807 0.4588 0.8130  1 P 1.60
O 0.0095 0.6928 0.8811  1 P 1.58
O 0.1980 0.7113 0.4655  1 P 1.54
O 0.7999 0.2916 0.5351  1 P 1.53
O 0.9648 0.6200 0.2988  1 P 1.53
O 0.4806 0.7157 0.2664  1 P 1.57
O 0.8440 0.8531 0.5888  1 P 1.57
O 0.5421 0.7302 0.6858  1 P 1.58
O 0.7302 0.5421 0.1858  1 P 1.58
O 0.3849 0.0432 0.2054  1 P 1.53
P 0.6719 0.8871 0.6210  4 O 1.53-1.58
P 0.8871 0.6719 0.1210  4 O 1.53-1.58
P 0.6922 0.3093 0.7514  4 O 1.53-1.58
P 0.1160 0.3310 0.8892  4 O 1.53-1.60
P 0.3310 0.1160 0.3892  4 O 1.53-1.60
P 0.3093 0.6922 0.2514  4 O 1.53-1.58
Li 0.9460 0.9897 0.2244  4 O 2.04-2.24
Li 0.9897 0.9460 0.7244  4 O 2.04-2.24
Mn 0.6357 0.9431 0.1198  5 O 2.09-2.21
Mn 0.4718 0.4872 0.9530  4 O 2.18-2.24
Mn 0.7355 0.2774 0.2395  6 O 2.18-2.38
Mn 0.2774 0.7355 0.7395  6 O 2.18-2.38
Mn 0.0562 0.3538 0.3964  5 O 2.13-2.16
Mn 0.4872 0.4718 0.4530  4 O 2.18-2.24
Mn 0.3538 0.0562 0.8964  5 O 2.13-2.16
Mn 0.9431 0.6357 0.6198  5 O 2.09-2.21

Summary:
Total magnetic moment = 20.00 μB/f.u.

=====

Ordering by calculated energy gives the sequence 2), 1), with the first entry being the most stable.

=====

1) The following is a PBE with a Hubbard U calculation of Li3Mn2P3O12 after structural relaxation, from Alexandria via LeMat-Bulk.

Unit cell a=8.7565 b=8.7565 c=6.2274 alpha=74.71 beta=74.71 gamma=98.40
Closest atoms and distances in Å follow each position.
Fractional coordinates of all 40 atoms:
O 0.0461 0.3835 0.6818  1 P 1.57
O 0.1832 0.7268 0.4778  1 P 1.56
O 0.8554 0.8516 0.0934  1 P 1.56
O 0.9539 0.6165 0.3182  1 P 1.57
O 0.8168 0.2732 0.5222  1 P 1.56
O 0.4686 0.7387 0.2665  1 P 1.56
O 0.5314 0.2613 0.7335  1 P 1.56
O 0.4499 0.2987 0.2940  1 P 1.52
O 0.3328 0.0143 0.6020  1 P 1.57
O 0.9857 0.6672 0.8980  1 P 1.57
O 0.5501 0.7013 0.7060  1 P 1.52
O 0.7268 0.1832 0.9778  1 P 1.56
O 0.7013 0.5501 0.2060  1 P 1.52
O 0.2732 0.8168 0.0222  1 P 1.56
O 0.6165 0.9539 0.8182  1 P 1.57
O 0.0143 0.3328 0.1020  1 P 1.57
O 0.6672 0.9857 0.3980  1 P 1.57
O 0.1446 0.1484 0.9066  1 P 1.56
O 0.2987 0.4499 0.7940  1 P 1.52
O 0.3835 0.0461 0.1818  1 P 1.57
O 0.7387 0.4686 0.7665  1 P 1.56
O 0.2613 0.5314 0.2335  1 P 1.56
O 0.1484 0.1446 0.4066  1 P 1.56
O 0.8516 0.8554 0.5934  1 P 1.56
Li 0.5000 0.5000 0.0000  4 O 2.07-2.31
Li 0.3008 0.6992 0.7500  4 O 2.12-2.18
Li 0.6992 0.3008 0.2500  4 O 2.12-2.18
Li 0.5000 0.5000 0.5000  4 O 2.07-2.31
Li 0.0259 0.9741 0.7500  4 O 2.14-2.28
Li 0.9741 0.0259 0.2500  4 O 2.14-2.28
P 0.2931 0.7069 0.2500  4 O 1.56
P 0.3303 0.1358 0.3679  4 O 1.52-1.57
P 0.6697 0.8642 0.6321  4 O 1.52-1.57
P 0.8642 0.6697 0.1321  4 O 1.52-1.57
P 0.1358 0.3303 0.8679  4 O 1.52-1.57
P 0.7069 0.2931 0.7500  4 O 1.56
Mn 0.3651 0.0538 0.8782  4 O 1.92-1.98
Mn 0.0538 0.3651 0.3782  4 O 1.92-1.98
Mn 0.9462 0.6349 0.6218  4 O 1.92-1.98
Mn 0.6349 0.9462 0.1218  4 O 1.92-1.98

Summary:
Total magnetic moment = 8.00 μB/f.u.

=====

2) The following is a PBE with a Hubbard U calculation of Li3Mn2P3O12 after structural relaxation, from Alexandria via LeMat-Bulk.

Unit cell a=8.5386 b=8.6869 c=12.5150 alpha=90.00 beta=92.48 gamma=90.00
Closest atoms and distances in Å follow each position.
Fractional coordinates of all 80 atoms:
O 0.6337 0.4725 0.7508  1 P 1.58
O 0.3612 0.2834 0.6737  1 P 1.58
O 0.4275 0.8214 0.9058  1 P 1.57
O 0.0839 0.1048 0.8523  1 P 1.57
O 0.1985 0.4920 0.8080  1 P 1.54
O 0.0760 0.4090 0.1636  1 P 1.56
O 0.9494 0.8636 0.5658  1 P 1.55
O 0.8612 0.2166 0.1737  1 P 1.58
O 0.4161 0.6048 0.6477  1 P 1.57
O 0.6492 0.7562 0.6991  1 P 1.54
O 0.8508 0.2562 0.8009  1 P 1.54
O 0.0999 0.6256 0.5791  1 P 1.54
O 0.5760 0.0910 0.6636  1 P 1.56
O 0.4240 0.9090 0.3364  1 P 1.56
O 0.1729 0.8227 0.4403  1 P 1.53
O 0.3271 0.3227 0.0597  1 P 1.53
O 0.3663 0.5275 0.2492  1 P 1.58
O 0.5999 0.8744 0.0791  1 P 1.54
O 0.6985 0.0080 0.3080  1 P 1.54
O 0.1388 0.7834 0.8263  1 P 1.58
O 0.1492 0.7438 0.1991  1 P 1.54
O 0.9001 0.3744 0.4209  1 P 1.54
O 0.8663 0.9725 0.7492  1 P 1.58
O 0.9275 0.6786 0.4058  1 P 1.57
O 0.0725 0.3214 0.5942  1 P 1.57
O 0.3704 0.1132 0.5125  1 P 1.54
O 0.8222 0.0351 0.9392  1 P 1.52
O 0.5839 0.3952 0.3523  1 P 1.57
O 0.8271 0.1773 0.5597  1 P 1.53
O 0.8015 0.5080 0.1920  1 P 1.54
O 0.6729 0.6773 0.9403  1 P 1.53
O 0.3222 0.4649 0.4392  1 P 1.52
O 0.1296 0.6132 0.9875  1 P 1.54
O 0.6296 0.8868 0.4875  1 P 1.54
O 0.9240 0.5910 0.8364  1 P 1.56
O 0.1337 0.0275 0.2508  1 P 1.58
O 0.3508 0.2438 0.3009  1 P 1.54
O 0.3015 0.9920 0.6920  1 P 1.54
O 0.5506 0.3636 0.9342  1 P 1.55
O 0.6778 0.5351 0.5608  1 P 1.52
O 0.0506 0.1364 0.4342  1 P 1.55
O 0.4494 0.6364 0.0658  1 P 1.55
O 0.4001 0.1256 0.9209  1 P 1.54
O 0.9161 0.8952 0.1477  1 P 1.57
O 0.5725 0.1786 0.0942  1 P 1.57
O 0.8704 0.3868 0.0125  1 P 1.54
O 0.1778 0.9649 0.0608  1 P 1.52
O 0.6388 0.7166 0.3263  1 P 1.58
Li 0.7895 0.7841 0.8305  4 O 1.97-2.05
Li 0.9203 0.6935 0.2395  4 O 1.98-2.09
Li 0.5797 0.1935 0.2605  4 O 1.98-2.09
Li 0.5841 0.5936 0.1956  4 O 1.98-2.08
Li 0.2895 0.7159 0.3305  4 O 1.97-2.05
Li 0.4159 0.4064 0.8044  4 O 1.98-2.08
Li 0.4203 0.8065 0.7395  4 O 1.98-2.09
Li 0.7105 0.2841 0.6695  4 O 1.97-2.05
Li 0.9159 0.0936 0.3044  4 O 1.98-2.08
Li 0.0841 0.9064 0.6956  4 O 1.98-2.08
Li 0.0797 0.3065 0.7605  4 O 1.98-2.09
Li 0.2105 0.2159 0.1695  4 O 1.97-2.05
P 0.9617 0.2537 0.5030  4 O 1.53-1.57
P 0.6023 0.8856 0.3648  4 O 1.54-1.58
P 0.1023 0.6144 0.8648  4 O 1.54-1.58
P 0.4617 0.2463 0.0030  4 O 1.53-1.57
P 0.4001 0.4053 0.3408  4 O 1.52-1.58
P 0.9001 0.0947 0.8408  4 O 1.52-1.58
P 0.3977 0.1144 0.6352  4 O 1.54-1.58
P 0.0999 0.9053 0.1592  4 O 1.52-1.58
P 0.5999 0.5947 0.6592  4 O 1.52-1.58
P 0.5383 0.7537 0.9970  4 O 1.53-1.57
P 0.0383 0.7463 0.4970  4 O 1.53-1.57
P 0.8977 0.3856 0.1352  4 O 1.54-1.58
Mn 0.7519 0.4556 0.8907  4 O 1.89-2.02
Mn 0.2481 0.5444 0.1093  4 O 1.89-2.02
Mn 0.2513 0.4604 0.5958  5 O 1.94-2.08
Mn 0.7487 0.5396 0.4042  5 O 1.94-2.08
Mn 0.2487 0.9604 0.9042  5 O 1.94-2.08
Mn 0.7513 0.0396 0.0958  5 O 1.94-2.08
Mn 0.2519 0.0444 0.3907  4 O 1.89-2.02
Mn 0.7481 0.9556 0.6093  4 O 1.89-2.02

Summary:
Total magnetic moment = 8.00 μB/f.u.

=====

Ordering by calculated energy gives the sequence 2), 1), with the first entry being the most stable.

=====

1) The following is a PBE with a Hubbard U calculation of Li3Mn2P3O12 after structural relaxation, from Alexandria via LeMat-Bulk.

Unit cell a=10.0748 b=10.0748 c=10.0748 alpha=109.47 beta=109.47 gamma=109.47
Closest atoms and distances in Å follow each position.
Fractional coordinates of all 80 atoms:
Mn 0.0000 0.5000 0.0000  6 O 1.97
Mn 0.0000 0.5000 0.5000  6 O 1.97
Mn 0.5000 0.0000 0.5000  6 O 1.97
Mn 0.5000 0.0000 0.0000  6 O 1.97
Mn 0.0000 0.0000 0.0000  6 O 1.97
Mn 0.0000 0.0000 0.5000  6 O 1.97
Mn 0.5000 0.5000 0.5000  6 O 1.97
Mn 0.5000 0.5000 0.0000  6 O 1.97
O 0.3021 0.8904 0.0072  1 P 1.56
O 0.9928 0.6979 0.1096  1 P 1.56
O 0.2948 0.3021 0.9117  1 P 1.56
O 0.1169 0.6096 0.9117  1 P 1.56
O 0.1979 0.4928 0.6096  1 P 1.56
O 0.4928 0.6096 0.1979  1 P 1.56
O 0.9117 0.2948 0.3021  1 P 1.56
O 0.8904 0.0072 0.3021  1 P 1.56
O 0.9928 0.7948 0.8831  1 P 1.56
O 0.3904 0.8021 0.5072  1 P 1.56
O 0.5883 0.8904 0.3831  1 P 1.56
O 0.3831 0.2948 0.4928  1 P 1.56
O 0.6096 0.1979 0.4928  1 P 1.56
O 0.8021 0.7948 0.4117  1 P 1.56
O 0.3904 0.0883 0.8831  1 P 1.56
O 0.3831 0.5883 0.8904  1 P 1.56
O 0.9117 0.1169 0.6096  1 P 1.56
O 0.1096 0.9928 0.6979  1 P 1.56
O 0.6169 0.4117 0.1096  1 P 1.56
O 0.5883 0.1979 0.2052  1 P 1.56
O 0.6979 0.1096 0.9928  1 P 1.56
O 0.5072 0.3904 0.8021  1 P 1.56
O 0.0883 0.7052 0.6979  1 P 1.56
O 0.7052 0.5072 0.6169  1 P 1.56
O 0.5072 0.6169 0.7052  1 P 1.56
O 0.8021 0.5072 0.3904  1 P 1.56
O 0.7948 0.4117 0.8021  1 P 1.56
O 0.4928 0.3831 0.2948  1 P 1.56
O 0.7052 0.6979 0.0883  1 P 1.56
O 0.0883 0.8831 0.3904  1 P 1.56
O 0.8904 0.3831 0.5883  1 P 1.56
O 0.6169 0.7052 0.5072  1 P 1.56
O 0.8831 0.9928 0.7948  1 P 1.56
O 0.1979 0.2052 0.5883  1 P 1.56
O 0.6096 0.9117 0.1169  1 P 1.56
O 0.0072 0.3021 0.8904  1 P 1.56
O 0.4117 0.8021 0.7948  1 P 1.56
O 0.3021 0.9117 0.2948  1 P 1.56
O 0.1096 0.6169 0.4117  1 P 1.56
O 0.8831 0.3904 0.0883  1 P 1.56
O 0.2052 0.1169 0.0072  1 P 1.56
O 0.1169 0.0072 0.2052  1 P 1.56
O 0.0072 0.2052 0.1169  1 P 1.56
O 0.4117 0.1096 0.6169  1 P 1.56
O 0.2052 0.5883 0.1979  1 P 1.56
O 0.7948 0.8831 0.9928  1 P 1.56
O 0.2948 0.4928 0.3831  1 P 1.56
O 0.6979 0.0883 0.7052  1 P 1.56
P 0.6250 0.3750 0.2500  4 O 1.56
P 0.2500 0.6250 0.3750  4 O 1.56
P 0.1250 0.7500 0.8750  4 O 1.56
P 0.3750 0.6250 0.7500  4 O 1.56
P 0.1250 0.8750 0.2500  4 O 1.56
P 0.7500 0.3750 0.6250  4 O 1.56
P 0.3750 0.2500 0.6250  4 O 1.56
P 0.2500 0.1250 0.8750  4 O 1.56
P 0.8750 0.1250 0.7500  4 O 1.56
P 0.7500 0.8750 0.1250  4 O 1.56
P 0.6250 0.7500 0.3750  4 O 1.56
P 0.8750 0.2500 0.1250  4 O 1.56
Li 0.6250 0.8750 0.7500  8 O 2.28-2.43
Li 0.3750 0.7500 0.1250  8 O 2.28-2.43
Li 0.1250 0.3750 0.7500  8 O 2.28-2.43
Li 0.7500 0.1250 0.3750  8 O 2.28-2.43
Li 0.8750 0.7500 0.6250  8 O 2.28-2.43
Li 0.8750 0.6250 0.2500  8 O 2.28-2.43
Li 0.6250 0.2500 0.8750  8 O 2.28-2.43
Li 0.2500 0.8750 0.6250  8 O 2.28-2.43
Li 0.7500 0.6250 0.8750  8 O 2.28-2.43
Li 0.3750 0.1250 0.2500  8 O 2.28-2.43
Li 0.1250 0.2500 0.3750  8 O 2.28-2.43
Li 0.2500 0.3750 0.1250  8 O 2.28-2.43

Summary:
Total magnetic moment = 4.00 μB/f.u.

=====

2) The following is a PBE with a Hubbard U calculation of Li3Mn2P3O12 after structural relaxation, from Alexandria via LeMat-Bulk.

Unit cell a=8.6943 b=8.6671 c=12.2334 alpha=90.00 beta=93.50 gamma=90.00
Closest atoms and distances in Å follow each position.
Fractional coordinates of all 80 atoms:
O 0.4804 0.8739 0.5865  1 P 1.54
O 0.6236 0.8209 0.3090  1 P 1.54
O 0.2664 0.4051 0.2118  1 P 1.55
O 0.2660 0.9023 0.7936  1 P 1.55
O 0.8596 0.8235 0.8972  1 P 1.59
O 0.0544 0.8992 0.1588  1 P 1.55
O 0.3764 0.8209 0.1910  1 P 1.54
O 0.6758 0.3277 0.0767  1 P 1.57
O 0.3242 0.6723 0.9233  1 P 1.57
O 0.2568 0.9490 0.9873  1 P 1.56
O 0.9456 0.8992 0.3412  1 P 1.55
O 0.7432 0.0510 0.0127  1 P 1.56
O 0.7432 0.9490 0.5127  1 P 1.56
O 0.0042 0.4251 0.1099  1 P 1.51
O 0.5196 0.8739 0.9135  1 P 1.54
O 0.3764 0.1791 0.6910  1 P 1.54
O 0.5612 0.3853 0.6587  1 P 1.56
O 0.9456 0.1008 0.8412  1 P 1.55
O 0.9958 0.5749 0.8901  1 P 1.51
O 0.8654 0.6929 0.1990  1 P 1.55
O 0.6236 0.1791 0.8090  1 P 1.54
O 0.8654 0.3071 0.6990  1 P 1.55
O 0.1404 0.1765 0.1028  1 P 1.59
O 0.2582 0.3992 0.0088  1 P 1.56
O 0.8596 0.1765 0.3972  1 P 1.59
O 0.2582 0.6008 0.5088  1 P 1.56
O 0.1404 0.8235 0.6028  1 P 1.59
O 0.4388 0.3853 0.8413  1 P 1.56
O 0.4804 0.1261 0.0865  1 P 1.54
O 0.2568 0.0510 0.4873  1 P 1.56
O 0.2664 0.5949 0.7118  1 P 1.55
O 0.1346 0.6929 0.3010  1 P 1.55
O 0.7340 0.0977 0.2064  1 P 1.55
O 0.0042 0.5749 0.6099  1 P 1.51
O 0.5196 0.1261 0.4135  1 P 1.54
O 0.7336 0.5949 0.7882  1 P 1.55
O 0.7340 0.9023 0.7064  1 P 1.55
O 0.2660 0.0977 0.2936  1 P 1.55
O 0.9958 0.4251 0.3901  1 P 1.51
O 0.4388 0.6147 0.3413  1 P 1.56
O 0.1346 0.3071 0.8010  1 P 1.55
O 0.7418 0.6008 0.9912  1 P 1.56
O 0.3242 0.3277 0.4233  1 P 1.57
O 0.5612 0.6147 0.1587  1 P 1.56
O 0.7336 0.4051 0.2882  1 P 1.55
O 0.7418 0.3992 0.4912  1 P 1.56
O 0.0544 0.1008 0.6588  1 P 1.55
O 0.6758 0.6723 0.5767  1 P 1.57
P 0.3443 0.8497 0.9042  4 O 1.54-1.57
P 0.8359 0.3580 0.3910  4 O 1.51-1.59
P 0.1641 0.6420 0.6090  4 O 1.51-1.59
P 0.5000 0.7193 0.2500  4 O 1.54-1.56
P 0.0000 0.2091 0.7500  4 O 1.55
P 0.5000 0.2807 0.7500  4 O 1.54-1.56
P 0.0000 0.7909 0.2500  4 O 1.55
P 0.6557 0.1503 0.0958  4 O 1.54-1.57
P 0.1641 0.3580 0.1090  4 O 1.51-1.59
P 0.6557 0.8497 0.5958  4 O 1.54-1.57
P 0.3443 0.1503 0.4042  4 O 1.54-1.57
P 0.8359 0.6420 0.8910  4 O 1.51-1.59
Mn 0.7192 0.0069 0.3527  4 O 1.88-2.02
Mn 0.2808 0.9931 0.6473  4 O 1.88-2.02
Mn 0.7192 0.9931 0.8527  4 O 1.88-2.02
Mn 0.2069 0.4987 0.3566  5 O 1.91-2.08
Mn 0.2069 0.5013 0.8566  5 O 1.91-2.08
Mn 0.7931 0.4987 0.1434  5 O 1.91-2.08
Mn 0.2808 0.0069 0.1473  4 O 1.88-2.02
Mn 0.7931 0.5013 0.6434  5 O 1.91-2.08
Li 0.6651 0.1980 0.5480  2 O 2.01-2.11
Li 0.0000 0.0000 0.0000  6 O 2.16-2.29
Li 0.5000 0.5000 0.0000  6 O 2.22-2.30
Li 0.0000 0.9057 0.7500  6 O 2.10-2.35
Li 0.6651 0.8020 0.0480  2 O 2.01-2.11
Li 0.3349 0.1980 0.9520  2 O 2.01-2.11
Li 0.3349 0.8020 0.4520  2 O 2.01-2.11
Li 0.0000 0.0943 0.2500  6 O 2.10-2.35
Li 0.5000 0.5000 0.5000  6 O 2.22-2.30
Li 0.5000 0.5820 0.7500  4 O 2.06-2.12
Li 0.0000 0.0000 0.5000  6 O 2.16-2.29
Li 0.5000 0.4180 0.2500  4 O 2.06-2.12

Summary:
Total magnetic moment = 8.00 μB/f.u.

=====

Ordering by calculated energy gives the sequence 2), 1), with the first entry being the most stable.